The following is a GGA-PBE calculation of a geometry-optimized PaS2Br structure, from Alexandria via LeMat-Bulk.

Results
E (eV/atom): -5.931
Theoretical density (g/cm3): 7.1

Lattice parameters (Å, degrees): 3.7680 3.7680 6.1514 90.00 90.00 90.00
With the nearest neighbours (Å) after each atom.
Sites, in units of the cell vectors:
S  0.0000  0.0000  0.8221  1 S 2.19
S  0.0000  0.0000  0.1779  1 S 2.19
Pa  0.5000  0.5000  0.0000  8 S 2.88, 2 Br 3.08
Br  0.5000  0.5000  0.5000  2 Pa 3.08, 8 S 3.32